KCdP: optimized geometry, GGA-PBEsol.

Cell: 3.1804 3.1804 7.4001 Å, 102.41 102.41 90.00°
With the nearest neighbours (Å) after each atom.
Element x y z (fractional)
1 Cd 0.9729 0.9729 0.9458  4 P 2.86, 4 Cd 3.18
2 K 0.6799 0.6799 0.3598  4 K 3.18, 4 P 3.26
3 P 0.3472 0.3472 0.6944  4 Cd 2.86, 4 P 3.18

Summary:
For the formation energy from the elements, the calculation gives 0.193 eV/atom. As for the crystal system: tetragonal. As for the space group: No. 107. The total DFT energy (no corrections) comes out at -2.5147 eV/atom.